(1)
This record from Alexandria describes a relaxed structure of CsKPSe4. The functional is PBE.

a b c (Å): 7.1921 6.1704 12.2310
angles (deg): 90.00 99.87 90.00
With the nearest neighbours (Å) after each atom.
Atoms (fractional coordinates):
Cs 0.2267 0.2500 0.4488  7 Se 3.63-4.03
Cs 0.7733 0.7500 0.5512  7 Se 3.63-4.03
K 0.2488 0.2500 0.9361  7 Se 3.33-3.62
K 0.7512 0.7500 0.0639  7 Se 3.33-3.62
P 0.3232 0.7500 0.2188  4 Se 2.18-2.27
P 0.6768 0.2500 0.7812  4 Se 2.18-2.27
Se 0.0770 0.7500 0.3030  1 P 2.20
Se 0.2419 0.7500 0.0386  1 P 2.18
Se 0.4577 0.5076 0.7227  1 P 2.27
Se 0.4577 0.9924 0.7227  1 P 2.27
Se 0.5423 0.0076 0.2773  1 P 2.27
Se 0.5423 0.4924 0.2773  1 P 2.27
Se 0.7581 0.2500 0.9614  1 P 2.18
Se 0.9230 0.2500 0.6970  1 P 2.20

Summary:
Calculated volume, Å³/cell: 534.8
Calculated density, g/cm3: 3.22
N(E_F), states/eV per atom: 0.272
Formation energy from raw total energies, meV/atom: -668

=====

(2)
This record from Alexandria describes a relaxed structure of Cs2KSiP2. The functional is PBE.

a b c (Å): 11.5108 11.5108 11.5108
angles (deg): 140.04 51.84 148.36
With the nearest neighbours (Å) after each atom.
Atoms (fractional coordinates):
Cs 0.1531 0.2030 0.3561  3 P 3.57-3.78, 2 Si 3.88
Cs 0.3469 0.7030 0.0500  3 P 3.57-3.78, 2 Si 3.88
Cs 0.6531 0.2970 0.9500  3 P 3.57-3.78, 2 Si 3.88
Cs 0.8469 0.7970 0.6439  3 P 3.57-3.78, 2 Si 3.88
K 0.2500 0.7500 0.5000  2 K 3.14, 4 P 3.25
K 0.7500 0.2500 0.5000  2 K 3.14, 4 P 3.25
Si 0.2500 0.2500 0.0000  4 P 2.30
Si 0.7500 0.7500 0.0000  4 P 2.30
P 0.0520 0.8352 0.8871  2 Si 2.30
P 0.4480 0.3352 0.7832  2 Si 2.30
P 0.5520 0.6648 0.2168  2 Si 2.30
P 0.9480 0.1648 0.1129  2 Si 2.30

Summary:
Calculated volume, Å³/cell: 511.1
Calculated density, g/cm3: 2.57
N(E_F), states/eV per atom: 0.349
Formation energy from raw total energies, meV/atom: -330

=====

(3)
This record from Alexandria describes a relaxed structure of CsKTe3P. The functional is PBE.

a b c (Å): 7.8588 7.8588 9.3821
angles (deg): 96.40 96.40 73.01
With the nearest neighbours (Å) after each atom.
Atoms (fractional coordinates):
Cs 0.1320 0.1320 0.3885  7 Te 3.80-4.21, 1 Cs 4.18
Cs 0.8680 0.8680 0.6115  7 Te 3.80-4.21, 1 Cs 4.18
K 0.2931 0.7069 0.0000  4 Te 3.51-3.54, 1 K 3.87
K 0.7069 0.2931 0.0000  4 Te 3.51-3.54, 1 K 3.87
Te 0.1544 0.5884 0.3086  1 P 2.48
Te 0.3485 0.3485 0.7284  1 P 2.49
Te 0.4116 0.8456 0.6914  1 P 2.48
Te 0.5884 0.1544 0.3086  1 P 2.48
Te 0.6515 0.6515 0.2716  1 P 2.49
Te 0.8456 0.4116 0.6914  1 P 2.48
P 0.4802 0.4802 0.3736  1 P 2.35, 3 Te 2.48-2.49
P 0.5198 0.5198 0.6264  1 P 2.35, 3 Te 2.48-2.49

Summary:
Calculated volume, Å³/cell: 548.8
Calculated density, g/cm3: 3.54
N(E_F), states/eV per atom: 0.001
Formation energy from raw total energies, meV/atom: -526

=====

(4)
This record from Alexandria describes a relaxed structure of Cs2KZnP2. The functional is PBE.

a b c (Å): 9.2434 9.2434 9.2434
angles (deg): 130.40 68.16 136.37
With the nearest neighbours (Å) after each atom.
Atoms (fractional coordinates):
Cs 0.1741 0.2210 0.3951  3 P 3.42-3.76, 2 Zn 3.60
Cs 0.3259 0.7210 0.0469  3 P 3.42-3.76, 2 Zn 3.60
Cs 0.6741 0.2790 0.9531  3 P 3.42-3.76, 2 Zn 3.60
Cs 0.8259 0.7790 0.6049  3 P 3.42-3.76, 2 Zn 3.60
K 0.2500 0.7500 0.5000  4 P 3.26, 2 K 3.44
K 0.7500 0.2500 0.5000  4 P 3.26, 2 K 3.44
Zn 0.2500 0.2500 0.0000  4 P 2.50
Zn 0.7500 0.7500 0.0000  4 P 2.50
P 0.0775 0.8233 0.9008  2 Zn 2.50
P 0.4225 0.3233 0.7458  2 Zn 2.50
P 0.5775 0.6767 0.2542  2 Zn 2.50
P 0.9225 0.1767 0.0992  2 Zn 2.50

Summary:
Calculated volume, Å³/cell: 407.8
Calculated density, g/cm3: 3.52
Formation energy, eV per formula unit: -1.399
N(E_F), states/eV per atom: 0.786

=====

| no. | magnetization (μB per formula unit) |
| --- | --- |
| 1 | 0.00 |
| 2 | 0.00 |
| 3 | 0.00 |
| 4 | 0.00 |